[1]
{"formula": "SiSbAsSe2", "functional": "PBE-GGA", "state": "relaxed", "e_above_lowest_polymorph_kj_per_mol_fu": 277, "formation_energy_uncorrected_mev_per_atom": 925, "lattice": [[5.262, 0.000, 0.000], [0.000, 5.262, 0.000], [0.000, 0.000, 5.268]], "species": ["Si", "Sb", "As", "Se", "Se"], "frac_coords": [[0.000, 0.000, 0.000], [0.500, 0.500, 0.500], [0.500, 0.500, 0.000], [0.000, 0.500, 0.500], [0.500, 0.000, 0.500]]}

[2]
{"formula": "Zn", "functional": "PBE-GGA", "state": "relaxed", "delta_e_f_kj_per_mol_fu": 8, "e_above_lowest_polymorph_kj_per_mol_fu": 8, "lattice": [[0.000, 3.813, 7.882], [2.150, 0.000, 7.882], [2.150, 3.813, 0.000]], "species": ["Zn", "Zn", "Zn", "Zn", "Zn", "Zn", "Zn", "Zn"], "frac_coords": [[0.042, 0.042, 0.208], [0.208, 0.208, 0.042], [0.209, 0.541, 0.209], [0.459, 0.791, 0.459], [0.541, 0.209, 0.541], [0.791, 0.459, 0.791], [0.792, 0.792, 0.958], [0.958, 0.958, 0.792]]}

[3]
{"formula": "Ho5CoAu2", "functional": "PBE-GGA", "state": "relaxed", "delta_e_f_kj_per_mol_fu": -417, "lattice": [[8.557, 0.000, 0.000], [0.000, 11.629, 0.000], [0.000, 0.000, 4.007]], "species": ["Ho", "Ho", "Ho", "Ho", "Ho", "Ho", "Ho", "Ho", "Ho", "Ho", "Co", "Co", "Au", "Au", "Au", "Au"], "frac_coords": [[0.000, 0.000, 0.000], [0.150, 0.305, 0.000], [0.175, 0.578, 0.500], [0.325, 0.078, 0.500], [0.350, 0.805, 0.000], [0.500, 0.500, 0.000], [0.650, 0.195, 0.000], [0.675, 0.922, 0.500], [0.825, 0.422, 0.500], [0.850, 0.695, 0.000], [0.000, 0.500, 0.000], [0.500, 0.000, 0.000], [0.064, 0.824, 0.500], [0.436, 0.324, 0.500], [0.564, 0.676, 0.500], [0.936, 0.176, 0.500]]}

[4]
{"formula": "HoTh2Sb2", "functional": "PBE-GGA", "state": "relaxed", "formation_energy_uncorrected_mev_per_atom": -403, "lattice": [[3.244, -8.197, 0.000], [3.244, 8.197, 0.000], [0.000, 0.000, 5.679]], "species": ["Ho", "Ho", "Th", "Th", "Th", "Th", "Sb", "Sb", "Sb", "Sb"], "frac_coords": [[0.000, 0.000, 0.000], [0.000, 0.000, 0.500], [0.198, 0.802, 0.750], [0.412, 0.588, 0.250], [0.588, 0.412, 0.750], [0.802, 0.198, 0.250], [0.121, 0.390, 0.750], [0.390, 0.121, 0.250], [0.610, 0.879, 0.750], [0.879, 0.610, 0.250]]}

Let's list electronic total energy in order: -16.5; -9.5; -81.7; -59.4 eV/cell.